# TbPr2I

TbPr2I after structural relaxation (PBE, Alexandria via LeMat-Bulk).

## Properties
Total magnetic moment ... 0.51 μB/f.u.
Raw formation energy ... -0.13 eV per atom
Space group ... R-3m (166)
Energy relative to the lowest polymorph listed for this composition ... 0.265 eV per atom

Cell lengths 3.684, 3.684, 12.060 Å; angles 81.21, 81.21, 60.00 degrees
Sites, in units of the cell vectors:
Pr 0.094 0.094 0.717
Pr 0.906 0.906 0.283
I 0.500 0.500 0.500
Tb 0.000 0.000 0.000



# TbPrI

TbPrI after structural relaxation (PBE, Alexandria via LeMat-Bulk).

## Properties
Total magnetic moment ... 0.41 μB/f.u.
Raw formation energy ... -0.54 eV per atom
Space group ... P3m1 (156)
Energy relative to the lowest polymorph listed for this composition ... 0.018 eV per atom

Cell lengths 3.898, 3.898, 7.796 Å; angles 90.00, 90.00, 120.00 degrees
Sites, in units of the cell vectors:
Pr 0.333 0.667 0.661
I 0.667 0.333 0.325
Tb 0.000 0.000 0.014



# Tb2PrI

Tb2PrI after structural relaxation (PBE, Alexandria via LeMat-Bulk).

## Properties
Total magnetic moment ... 0.00 μB/f.u.
Raw formation energy ... -0.33 eV per atom
Space group ... R3m (160)
Energy relative to the lowest polymorph listed for this composition ... 0.000 eV per atom

Cell lengths 3.791, 3.791, 10.867 Å; angles 79.95, 79.95, 60.01 degrees
Sites, in units of the cell vectors:
Tb 0.077 0.077 0.769
Tb 0.256 0.256 0.230
Pr 0.500 0.500 0.501
I 0.667 0.667 0.000



# TbPrI3

TbPrI3 after structural relaxation (PBE, Alexandria via LeMat-Bulk).

## Properties
Total magnetic moment ... 0.00 μB/f.u.
Raw formation energy ... -1.12 eV per atom
Space group ... C2/m (12)

Cell lengths 10.253, 10.253, 12.567 Å; angles 55.85, 55.85, 23.32 degrees
Sites, in units of the cell vectors:
Tb 0.568 0.568 0.038
Tb 0.432 0.432 0.962
Pr 0.866 0.866 0.279
Pr 0.134 0.134 0.721
I 0.336 0.336 0.506
I 0.664 0.664 0.494
I 0.788 0.788 0.118
I 0.212 0.212 0.882
I 0.036 0.036 0.250
I 0.964 0.964 0.750



# TbPr2I

TbPr2I after structural relaxation (PBE, Alexandria via LeMat-Bulk).

## Properties
Total magnetic moment ... 0.00 μB/f.u.
Raw formation energy ... -0.35 eV per atom
Space group ... P4/mmm (123)
Energy relative to the lowest polymorph listed for this composition ... 0.042 eV per atom

Cell lengths 3.732, 3.732, 9.797 Å; angles 90.00, 90.00, 90.00 degrees
Sites, in units of the cell vectors:
Pr 0.000 0.000 0.742
Pr 0.000 0.000 0.258
I 0.500 0.500 0.500
Tb 0.500 0.500 0.000



# TbPrI

TbPrI after structural relaxation (PBE, Alexandria via LeMat-Bulk).

## Properties
Total magnetic moment ... 0.00 μB/f.u.
Raw formation energy ... -0.56 eV per atom
Space group ... Cmcm (63)
Energy relative to the lowest polymorph listed for this composition ... 0.000 eV per atom

Cell lengths 6.123, 7.829, 8.771 Å; angles 102.89, 90.00, 90.00 degrees
Sites, in units of the cell vectors:
Tb 0.250 0.227 0.409
Tb 0.750 0.273 0.591
Tb 0.750 0.773 0.591
Tb 0.250 0.727 0.409
Pr 0.250 0.064 0.757
Pr 0.750 0.436 0.243
Pr 0.750 0.936 0.243
Pr 0.250 0.564 0.757
I 0.750 0.100 0.900
I 0.250 0.400 0.100
I 0.750 0.600 0.900
I 0.250 0.900 0.100



# TbPr2I

TbPr2I after structural relaxation (PBE, Alexandria via LeMat-Bulk).

## Properties
Total magnetic moment ... 0.49 μB/f.u.
Raw formation energy ... -0.40 eV per atom
Space group ... R3m (160)
Energy relative to the lowest polymorph listed for this composition ... 0.000 eV per atom

Cell lengths 3.854, 3.854, 11.047 Å; angles 79.96, 79.96, 60.00 degrees
Sites, in units of the cell vectors:
Tb 0.500 0.500 0.500
Pr 0.079 0.079 0.762
Pr 0.254 0.254 0.237
I 0.667 0.667 0.000



# TbPrI5

TbPrI5 after structural relaxation (PBE, Alexandria via LeMat-Bulk).

## Properties
Total magnetic moment ... 0.96 μB/f.u.
Raw formation energy ... -1.35 eV per atom
Space group ... P2_1/m (11)

Cell lengths 4.286, 9.378, 14.910 Å; angles 95.05, 90.00, 90.00 degrees
Sites, in units of the cell vectors:
Tb 0.250 0.413 0.343
Tb 0.750 0.587 0.657
Pr 0.750 0.106 0.150
Pr 0.250 0.894 0.850
I 0.250 0.073 0.310
I 0.750 0.138 0.928
I 0.750 0.324 0.481
I 0.250 0.357 0.130
I 0.250 0.372 0.707
I 0.750 0.628 0.293
I 0.750 0.643 0.870
I 0.250 0.676 0.519
I 0.250 0.862 0.072
I 0.750 0.927 0.690



# TbPrI6

TbPrI6 after structural relaxation (PBE, Alexandria via LeMat-Bulk).

## Properties
Total magnetic moment ... 0.00 μB/f.u.
Raw formation energy ... -1.35 eV per atom
Space group ... R-3 (148)

Cell lengths 7.742, 7.742, 8.324 Å; angles 62.28, 62.28, 60.00 degrees
Sites, in units of the cell vectors:
Tb 0.500 0.500 0.500
Pr 0.000 0.000 0.000
I 0.093 0.417 0.746
I 0.744 0.093 0.746
I 0.583 0.256 0.254
I 0.256 0.907 0.254
I 0.907 0.583 0.254
I 0.417 0.744 0.746



# PrThTcI

PrThTcI after structural relaxation (PBE, Alexandria via LeMat-Bulk).

## Properties
Total magnetic moment ... 0.00 μB/f.u.
Raw formation energy ... -0.41 eV per atom
Space group ... R3m (160)

Cell lengths 4.213, 4.211, 8.467 Å; angles 90.00, 104.41, 119.99 degrees
Sites, in units of the cell vectors:
Pr 0.506 0.151 0.673
Th 0.080 0.938 0.034
Tc 0.323 0.559 0.897
I 0.969 0.382 0.366



# Pr4Te3I

Pr4Te3I after structural relaxation (PBE, Alexandria via LeMat-Bulk).

## Properties
Total magnetic moment ... 0.00 μB/f.u.
Raw formation energy ... -1.27 eV per atom
Space group ... R-3m (166)

Cell lengths 4.582, 4.582, 14.945 Å; angles 81.18, 81.18, 60.00 degrees
Sites, in units of the cell vectors:
Pr 0.619 0.619 0.143
Pr 0.877 0.877 0.370
Pr 0.381 0.381 0.857
Pr 0.123 0.123 0.630
I 0.000 0.000 0.000
Te 0.751 0.751 0.746
Te 0.500 0.500 0.500
Te 0.249 0.249 0.254



# Pr4Te5I

Pr4Te5I after structural relaxation (PBE, Alexandria via LeMat-Bulk).

## Properties
Total magnetic moment ... 1.01 μB/f.u.
Raw formation energy ... -1.22 eV per atom
Space group ... Pmmn (59)

Cell lengths 7.776, 9.687, 10.735 Å; angles 90.00, 90.00, 90.00 degrees
Sites, in units of the cell vectors:
Pr 0.043 0.000 0.727
Pr 0.552 0.788 0.000
Pr 0.552 0.212 0.000
Pr 0.043 0.000 0.273
Pr 0.957 0.500 0.227
Pr 0.448 0.712 0.500
Pr 0.448 0.288 0.500
Pr 0.957 0.500 0.773
Te 0.259 0.728 0.799
Te 0.259 0.272 0.799
Te 0.716 0.500 0.000
Te 0.259 0.728 0.201
Te 0.259 0.272 0.201
Te 0.741 0.772 0.299
Te 0.741 0.228 0.299
Te 0.284 0.000 0.500
Te 0.741 0.228 0.701
Te 0.741 0.772 0.701
I 0.878 0.000 0.000
I 0.122 0.500 0.500



# Pr4TeI5

Pr4TeI5 after structural relaxation (PBE, Alexandria via LeMat-Bulk).

## Properties
Total magnetic moment ... 0.00 μB/f.u.
Raw formation energy ... -1.27 eV per atom
Space group ... C2/m (12)

Cell lengths 4.435, 9.237, 10.036 Å; angles 101.86, 102.76, 90.00 degrees
Sites, in units of the cell vectors:
Pr 0.657 0.066 0.314
Pr 0.999 0.225 0.999
Pr 0.343 0.934 0.686
Pr 0.001 0.775 0.001
Te 0.500 0.000 0.000
I 0.167 0.326 0.334
I 0.172 0.810 0.343
I 0.828 0.190 0.657
I 0.500 0.500 0.000
I 0.833 0.674 0.666



# PrTeI

PrTeI after structural relaxation (PBE, Alexandria via LeMat-Bulk).

## Properties
Total magnetic moment ... 0.00 μB/f.u.
Raw formation energy ... -1.30 eV per atom
Space group ... C2/m (12)
Energy relative to the lowest polymorph listed for this composition ... 0.139 eV per atom

Cell lengths 4.248, 7.999, 10.668 Å; angles 131.56, 101.48, 90.00 degrees
Sites, in units of the cell vectors:
Te 0.727 0.693 0.455
Te 0.273 0.307 0.545
Pr 0.126 0.314 0.252
Pr 0.874 0.686 0.748
I 0.540 0.850 0.080
I 0.460 0.150 0.920



# Pr6TeI8

Pr6TeI8 after structural relaxation (PBE, Alexandria via LeMat-Bulk).

## Properties
Total magnetic moment ... 0.00 μB/f.u.
Raw formation energy ... -1.20 eV per atom
Space group ... R-3 (148)

Cell lengths 7.881, 7.881, 12.222 Å; angles 71.19, 71.19, 60.00 degrees
Sites, in units of the cell vectors:
Pr 0.950 0.623 0.149
Pr 0.722 0.050 0.851
Pr 0.377 0.722 0.851
Pr 0.623 0.278 0.149
Pr 0.278 0.950 0.149
Pr 0.050 0.377 0.851
Te 0.000 0.000 0.000
I 0.774 0.442 0.677
I 0.892 0.226 0.323
I 0.558 0.892 0.323
I 0.333 0.333 0.000
I 0.667 0.667 0.000
I 0.442 0.108 0.677
I 0.108 0.774 0.677
I 0.226 0.558 0.323



# Pr5Te4I

Pr5Te4I after structural relaxation (PBE, Alexandria via LeMat-Bulk).

## Properties
Total magnetic moment ... 0.00 μB/f.u.
Raw formation energy ... -1.30 eV per atom
Space group ... R-3m (166)
Energy relative to the lowest polymorph listed for this composition ... 0.000 eV per atom

Cell lengths 4.537, 4.537, 18.768 Å; angles 83.06, 83.06, 60.00 degrees
Sites, in units of the cell vectors:
Pr 0.400 0.400 0.799
Pr 0.000 0.000 0.000
Pr 0.600 0.600 0.201
Pr 0.797 0.797 0.610
Pr 0.203 0.203 0.390
Te 0.901 0.901 0.297
Te 0.300 0.300 0.100
Te 0.700 0.700 0.900
Te 0.099 0.099 0.703
I 0.500 0.500 0.500



# PrTeI

PrTeI after structural relaxation (PBE, Alexandria via LeMat-Bulk).

## Properties
Total magnetic moment ... 0.00 μB/f.u.
Raw formation energy ... -1.39 eV per atom
Space group ... P3m1 (156)
Energy relative to the lowest polymorph listed for this composition ... 0.058 eV per atom

Cell lengths 4.586, 4.586, 7.400 Å; angles 90.00, 90.00, 120.00 degrees
Sites, in units of the cell vectors:
Pr 0.667 0.333 0.316
I 0.333 0.667 0.587
Te 0.000 0.000 0.097



# Pr3TeI3

Pr3TeI3 after structural relaxation (PBE, Alexandria via LeMat-Bulk).

## Properties
Total magnetic moment ... 0.00 μB/f.u.
Raw formation energy ... -1.24 eV per atom
Space group ... I4_132 (214)

Cell lengths 11.063, 11.063, 11.063 Å; angles 109.47, 109.47, 109.47 degrees
Sites, in units of the cell vectors:
Pr 0.489 0.239 0.478
Pr 0.022 0.261 0.011
Pr 0.011 0.489 0.750
Pr 0.750 0.011 0.489
Pr 0.239 0.478 0.489
Pr 0.011 0.022 0.261
Pr 0.478 0.489 0.239
Pr 0.750 0.239 0.261
Pr 0.261 0.011 0.022
Pr 0.239 0.261 0.750
Pr 0.261 0.750 0.239
Pr 0.489 0.750 0.011
Te 0.500 0.000 0.250
Te 0.250 0.500 0.000
Te 0.250 0.250 0.250
Te 0.000 0.250 0.500
I 0.993 0.985 0.743
I 0.757 0.743 0.250
I 0.743 0.993 0.985
I 0.250 0.993 0.507
I 0.743 0.250 0.757
I 0.507 0.250 0.993
I 0.250 0.757 0.743
I 0.515 0.507 0.757
I 0.993 0.507 0.250
I 0.507 0.757 0.515
I 0.757 0.515 0.507
I 0.985 0.743 0.993



# PrTeI

PrTeI after structural relaxation (PBE, Alexandria via LeMat-Bulk).

## Properties
Total magnetic moment ... 0.00 μB/f.u.
Raw formation energy ... -1.44 eV per atom
Space group ... P-1 (2)
Energy relative to the lowest polymorph listed for this composition ... 0.000 eV per atom

Cell lengths 4.238, 4.608, 12.577 Å; angles 89.89, 89.81, 90.00 degrees
Sites, in units of the cell vectors:
Pr 0.016 0.947 0.997
Pr 0.513 0.445 0.338
Te 0.014 0.946 0.262
Te 0.516 0.447 0.074
I 0.011 0.444 0.527
I 0.518 0.948 0.809



# PrTeI

PrTeI after structural relaxation (PBE, Alexandria via LeMat-Bulk).

## Properties
Total magnetic moment ... 0.00 μB/f.u.
Raw formation energy ... -1.43 eV per atom
Space group ... P2_1/m (11)
Energy relative to the lowest polymorph listed for this composition ... 0.013 eV per atom

Cell lengths 4.569, 6.335, 9.704 Å; angles 90.00, 90.48, 90.00 degrees
Sites, in units of the cell vectors:
Pr 0.252 0.250 0.131
Pr 0.748 0.750 0.869
Te 0.748 0.250 0.899
Te 0.252 0.750 0.101
I 0.756 0.250 0.358
I 0.244 0.750 0.642



Number 1: calculated total energy -4.066 eV/atom. Number 2: calculated total energy -4.196 eV/atom. Number 3: calculated total energy -4.225 eV/atom. Number 4: calculated total energy -3.937 eV/atom. Number 5: calculated total energy -4.289 eV/atom. Number 6: calculated total energy -4.214 eV/atom. Number 7: calculated total energy -4.331 eV/atom. Number 8: calculated total energy -3.806 eV/atom. Number 9: calculated total energy -3.685 eV/atom. Number 10: calculated total energy -6.443 eV/atom. Number 11: calculated total energy -5.034 eV/atom. Number 12: calculated total energy -4.857 eV/atom. Number 13: calculated total energy -4.270 eV/atom. Number 14: calculated total energy -4.461 eV/atom. Number 15: calculated total energy -4.148 eV/atom. Number 16: calculated total energy -5.103 eV/atom. Number 17: calculated total energy -4.542 eV/atom. Number 18: calculated total energy -4.405 eV/atom. Number 19: calculated total energy -4.600 eV/atom. Number 20: calculated total energy -4.587 eV/atom.